Below is a relaxed structure of Cs3RbSc, with properties calculated at the GGA-PBE level.

Cell: 8.185 8.185 8.185 Å, 90.00 90.00 90.00°
Site moments in Bohr magnetons follow the coordinates.
Positions (direct):
Cs (0.000, 0.500, 0.000)  0.00
Cs (0.500, 0.000, 0.000)  0.00
Cs (0.000, 0.000, 0.500)  0.00
Rb (0.000, 0.000, 0.000)  0.00
Sc (0.500, 0.500, 0.500)  1.02

Results
- size of the total moment (μB/cell) = 1.66
- raw total energy (eV/atom) = -1.126
- Fermi-level density of states (states/eV per atom) = 2.10
- mass density (kg/m³) = 1602